Material: Ba3SbPd
Method: DFT, PBE
State: optimized geometry

The structure in CIF format:
```
data_Ba3SbPd
_space_group_name_H-M_alt 'P m -3 m'
_space_group_IT_number 221
_space_group_name_Hall '-P 4 2 3'
_cell_length_a 6.006
_cell_length_b 6.006
_cell_length_c 6.006
_cell_angle_alpha 90.00
_cell_angle_beta 90.00
_cell_angle_gamma 90.00
loop_
_atom_site_label
_atom_site_type_symbol
_atom_site_fract_x
_atom_site_fract_y
_atom_site_fract_z
_atom_site_occupancy
Ba1 Ba 0.000 0.000 0.500 1
Sb1 Sb 0.500 0.500 0.500 1
Pd1 Pd 0.000 0.000 0.000 1
```

Calculated values
- Uncorrected energy: -0.2608 Ry per atom
- ΔE_f (raw): -532 meV per atom